[1]
Material: ScTl2Ir2
Method: DFT, GGA-PBE
State: optimized geometry

Results
- E_form: -0.017 eV/atom
- Raw total energy: -57.7 eV/cell
- Magnetic moment: 0.00 μB per atom

CIF file:
```
data_ScTl2Ir2
_chemical_formula_sum 'Sc2 Tl4 Ir4'
_space_group_name_H-M_alt 'P 4/m b m'
_space_group_IT_number 127
_space_group_name_Hall '-P 4 2ab'
_cell_length_a 7.015
_cell_length_b 7.015
_cell_length_c 4.084
_cell_angle_alpha 90.00
_cell_angle_beta 90.00
_cell_angle_gamma 90.00
loop_
_atom_site_label
_atom_site_type_symbol
_atom_site_fract_x
_atom_site_fract_y
_atom_site_fract_z
Sc1 Sc 0.000 0.000 0.000
Tl1 Tl 0.171 0.329 0.500
Ir1 Ir 0.133 0.633 0.000
```

[2]
Material: Cr2InBr
Method: DFT, GGA-PBE
State: optimized geometry

Results
- Raw total energy: -22.8 eV/cell
- Magnetic moment: 0.23 μB per atom
- E_form (uncorrected): 0.216 eV per atom

CIF file:
```
data_Cr2InBr
_chemical_formula_sum 'Cr2 In1 Br1'
_space_group_name_H-M_alt 'P 4 m m'
_space_group_IT_number 99
_cell_length_a 3.271
_cell_length_b 3.271
_cell_length_c 7.905
_cell_angle_alpha 90.00
_cell_angle_beta 90.00
_cell_angle_gamma 90.00
loop_
_space_group_symop_operation_xyz
'x,y,z'
'-y,x,z'
'-x,-y,z'
'y,-x,z'
'-x,y,z'
'y,x,z'
'x,-y,z'
'-y,-x,z'
loop_
_atom_site_label
_atom_site_type_symbol
_atom_site_fract_x
_atom_site_fract_y
_atom_site_fract_z
Cr1 Cr 0.000 0.000 0.000
Cr2 Cr 0.500 0.500 0.153
In1 In 0.000 0.000 0.376
Br1 Br 0.500 0.500 0.800
```

[3]
Material: CePu3Ir2
Method: DFT, GGA-PBE
State: optimized geometry

Results
- E_form: -0.331 eV/atom
- Raw total energy: -274.6 eV/cell
- Magnetic moment: 2.67 μB per atom

CIF file:
```
data_CePu3Ir2
_chemical_formula_sum 'Ce4 Pu12 Ir8'
_space_group_name_H-M_alt 'I b a m'
_space_group_IT_number 72
_space_group_name_Hall '-I 2 2c'
_cell_length_a 5.716
_cell_length_b 16.199
_cell_length_c 5.854
_cell_angle_alpha 90.00
_cell_angle_beta 90.00
_cell_angle_gamma 90.00
loop_
_atom_site_label
_atom_site_type_symbol
_atom_site_fract_x
_atom_site_fract_y
_atom_site_fract_z
Ce1 Ce 0.000 0.000 0.250
Pu1 Pu 0.000 0.500 0.250
Pu2 Pu 0.241 0.180 0.000
Ir1 Ir 0.242 0.354 0.000
```